(A)
# LiFe4P4O16, PBEsol geometry, DFT meta-GGA SCAN
# Density of states at the Fermi level (states/eV/f.u.): 4.37
data_LiFe4P4O16
_space_group_name_H-M_alt 'I m m 2'
_space_group_IT_number 44
_space_group_name_Hall 'I 2 -2'
_cell_length_a 5.323
_cell_length_b 12.469
_cell_length_c 7.935
_cell_angle_alpha 90.00
_cell_angle_beta 90.00
_cell_angle_gamma 90.00
loop_
_atom_site_label
_atom_site_fract_x
_atom_site_fract_y
_atom_site_fract_z
Li1 0.000 0.000 0.000
Fe1 0.000 0.129 0.325
Fe2 0.000 0.372 0.321
P1 0.000 0.000 0.667
P2 0.000 0.251 0.971
P3 0.000 0.500 0.669
O1 0.000 0.101 0.561
O2 0.000 0.147 0.076
O3 0.000 0.350 0.083
O4 0.000 0.399 0.559
O5 0.232 0.000 0.792
O6 0.238 0.251 0.855
O7 0.243 0.500 0.780

***

(B)
# LiFe4P4O16, PBEsol geometry, DFT meta-GGA SCAN
# Density of states at the Fermi level (states/eV/f.u.): 6.69
data_LiFe4P4O16
_space_group_name_H-M_alt 'P -1'
_space_group_IT_number 2
_space_group_name_Hall '-P 1'
_cell_length_a 4.797
_cell_length_b 5.880
_cell_length_c 9.959
_cell_angle_alpha 90.07
_cell_angle_beta 91.09
_cell_angle_gamma 90.25
loop_
_atom_site_label
_atom_site_fract_x
_atom_site_fract_y
_atom_site_fract_z
Li1 0.000 0.000 0.000
Fe1 0.032 0.253 0.280
Fe2 0.473 0.253 0.772
P1 0.086 0.752 0.403
P2 0.422 0.752 0.904
O1 0.157 0.751 0.553
O2 0.226 0.547 0.328
O3 0.229 0.247 0.620
O4 0.230 0.956 0.329
O5 0.262 0.235 0.112
O6 0.263 0.959 0.836
O7 0.284 0.549 0.826
O8 0.336 0.753 0.052

***

Q: Which of them is the least stable? A: (B).

***

(A)
Computed, not measured: a PBEsol-optimized structure of Li2FeP4O12 at the meta-GGA SCAN level of DFT.

```
data_Li2FeP4O12
_space_group_name_H-M_alt 'P n m a'
_space_group_IT_number 62
_space_group_name_Hall '-P 2ac 2n'
_cell_length_a 9.345
_cell_length_b 9.294
_cell_length_c 10.023
_cell_angle_alpha 90.00
_cell_angle_beta 90.00
_cell_angle_gamma 90.00
loop_
_atom_site_label
_atom_site_fract_x
_atom_site_fract_y
_atom_site_fract_z
Li1 0.008 0.097 0.177
Fe1 0.011 0.250 0.801
P1 0.196 0.750 0.609
P2 0.211 0.538 0.388
P3 0.227 0.250 0.521
O1 0.099 0.750 0.727
O2 0.113 0.750 0.034
O3 0.116 0.570 0.271
O4 0.130 0.061 0.877
O5 0.136 0.250 0.643
O6 0.146 0.250 0.128
O7 0.148 0.616 0.518
O8 0.176 0.124 0.424
```

***

(B)
Computed, not measured: a PBEsol-optimized structure of Li2FeP4O12 at the meta-GGA SCAN level of DFT.

```
data_Li2FeP4O12
_space_group_name_H-M_alt 'P -1'
_space_group_IT_number 2
_space_group_name_Hall '-P 1'
_cell_length_a 5.211
_cell_length_b 7.033
_cell_length_c 7.114
_cell_angle_alpha 108.76
_cell_angle_beta 94.59
_cell_angle_gamma 107.26
loop_
_atom_site_label
_atom_site_fract_x
_atom_site_fract_y
_atom_site_fract_z
Li1 0.155 0.222 0.063
Fe1 0.500 0.500 0.500
P1 0.170 0.710 0.288
P2 0.365 0.925 0.730
O1 0.083 0.321 0.845
O2 0.180 0.867 0.513
O3 0.189 0.938 0.884
O4 0.225 0.515 0.305
O5 0.438 0.837 0.225
O6 0.470 0.224 0.296
```

***

Q: Which of them is the least stable? A: (B).

***

(A)
# LiFeP2O7, PBEsol geometry, DFT meta-GGA SCAN
# Density of states at the Fermi level (states/eV/f.u.): 0.00
data_LiFeP2O7
_space_group_name_H-M_alt 'C 1 2 1'
_space_group_IT_number 5
_space_group_name_Hall 'C 2y'
_cell_length_a 6.508
_cell_length_b 8.110
_cell_length_c 4.518
_cell_angle_alpha 90.00
_cell_angle_beta 103.66
_cell_angle_gamma 90.00
loop_
_atom_site_label
_atom_site_fract_x
_atom_site_fract_y
_atom_site_fract_z
Li1 0.000 0.000 0.000
Fe1 0.000 0.375 0.000
P1 0.210 0.709 0.410
O1 0.000 0.773 0.500
O2 0.125 0.192 0.287
O3 0.171 0.542 0.252
O4 0.249 0.847 0.198

***

(B)
# LiFeP2O7, PBEsol geometry, DFT meta-GGA SCAN
# Density of states at the Fermi level (states/eV/f.u.): 0.00
data_LiFeP2O7
_space_group_name_H-M_alt 'P 1 21/c 1'
_space_group_IT_number 14
_space_group_name_Hall '-P 2ybc'
_cell_length_a 6.675
_cell_length_b 8.083
_cell_length_c 9.288
_cell_angle_alpha 90.00
_cell_angle_beta 106.80
_cell_angle_gamma 90.00
loop_
_atom_site_label
_atom_site_fract_x
_atom_site_fract_y
_atom_site_fract_z
Li1 0.209 0.108 0.050
Fe1 0.281 0.725 0.997
P1 0.049 0.533 0.213
P2 0.463 0.087 0.706
O1 0.068 0.673 0.108
O2 0.079 0.588 0.378
O3 0.152 0.565 0.843
O4 0.228 0.106 0.721
O5 0.392 0.586 0.632
O6 0.472 0.579 0.132
O7 0.485 0.237 0.611

***

Q: Which of them is the least stable? A: (B).

***

(A)
Computed, not measured: a PBEsol-optimized structure of LiFeSiO4 at the meta-GGA SCAN level of DFT.

```
data_LiFeSiO4
_space_group_name_H-M_alt 'P b c a'
_space_group_IT_number 61
_space_group_name_Hall '-P 2ac 2ab'
_cell_length_a 5.708
_cell_length_b 7.409
_cell_length_c 16.114
_cell_angle_alpha 90.00
_cell_angle_beta 90.00
_cell_angle_gamma 90.00
loop_
_atom_site_label
_atom_site_fract_x
_atom_site_fract_y
_atom_site_fract_z
Li1 0.064 0.228 0.225
Fe1 0.092 0.682 0.468
Si1 0.098 0.541 0.114
O1 0.032 0.656 0.880
O2 0.068 0.172 0.448
O3 0.145 0.627 0.202
O4 0.156 0.018 0.058
```

***

(B)
Computed, not measured: a PBEsol-optimized structure of LiFeSiO4 at the meta-GGA SCAN level of DFT.

```
data_LiFeSiO4
_space_group_name_H-M_alt 'P n a 21'
_space_group_IT_number 33
_space_group_name_Hall 'P 2c -2n'
_cell_length_a 7.807
_cell_length_b 9.025
_cell_length_c 4.907
_cell_angle_alpha 90.00
_cell_angle_beta 90.00
_cell_angle_gamma 90.00
loop_
_atom_site_label
_atom_site_fract_x
_atom_site_fract_y
_atom_site_fract_z
Li1 0.050 0.107 0.000
Fe1 0.177 0.518 0.068
Si1 0.221 0.356 0.617
O1 0.046 0.438 0.730
O2 0.139 0.961 0.277
O3 0.212 0.184 0.717
O4 0.246 0.361 0.288
```

***

(C)
# LiFeSiO4, PBEsol geometry, DFT meta-GGA SCAN
# Density of states at the Fermi level (states/eV/f.u.): 0.00
data_LiFeSiO4
_space_group_name_H-M_alt 'P 64 2 2'
_space_group_IT_number 181
_space_group_name_Hall 'P 64 2 (0 0 2)'
_cell_length_a 5.3546
_cell_length_b 5.3546
_cell_length_c 12.0119
_cell_angle_alpha 90.00
_cell_angle_beta 90.00
_cell_angle_gamma 120.00
loop_
_atom_site_label
_atom_site_fract_x
_atom_site_fract_y
_atom_site_fract_z
Li1 0.0000 0.0000 0.0000
Fe1 0.0000 0.5000 0.8333
Si1 0.0000 0.5000 0.3333
O1 0.1859 0.3952 0.2586

***

(D)
Computed, not measured: a PBEsol-optimized structure of LiFeSiO4 at the meta-GGA SCAN level of DFT.

```
data_LiFeSiO4
_space_group_name_H-M_alt 'I -4'
_space_group_IT_number 82
_space_group_name_Hall 'I -4'
_cell_length_a 4.434
_cell_length_b 4.434
_cell_length_c 8.505
_cell_angle_alpha 90.00
_cell_angle_beta 90.00
_cell_angle_gamma 90.00
loop_
_atom_site_label
_atom_site_fract_x
_atom_site_fract_y
_atom_site_fract_z
Li1 0.000 0.000 0.000
Fe1 0.000 0.500 0.750
Si1 0.000 0.000 0.500
O1 0.191 0.239 0.609
```

***

Q: Which of them is the least stable? A: (D).